No. 1
PW3 | PBE | optimized geometry

Calculated values
Crystal system   orthorhombic
ΔH_f (0 K)   1.0 eV per formula unit

Cell lengths 2.9687, 4.0774, 5.0850 Å; angles 90.00, 90.00, 90.00 degrees
Closest atoms and distances in Å follow each position.
Sites, in units of the cell vectors:
P: 0.0000 0.0000 0.0000  10 W 2.54-2.81
W: 0.0000 0.0000 0.5000  2 P 2.54, 8 W 2.84
W: 0.5000 0.5000 0.2439  2 W 2.48-2.60
W: 0.5000 0.5000 0.7561  2 W 2.48-2.60



No. 2
SmGa4Tc | PBE | optimized geometry

Calculated values
Crystal system   monoclinic
ΔH_f (0 K)   -1.6 eV per formula unit

Cell lengths 7.8788, 7.8788, 5.2844 Å; angles 109.46, 109.46, 49.82 degrees
Closest atoms and distances in Å follow each position.
Sites, in units of the cell vectors:
Sm: 0.2176 0.2176 0.2200  12 Ga 3.04-3.38
Sm: 0.7824 0.7824 0.7800  12 Ga 3.04-3.38
Ga: 0.0959 0.6900 0.3930  4 Ga 2.69-3.01, 2 Tc 2.73
Ga: 0.1788 0.8212 0.0000  1 Ga 2.37, 2 Tc 2.55
Ga: 0.3100 0.9041 0.6070  4 Ga 2.69-3.01, 2 Tc 2.73
Ga: 0.3308 0.3308 0.8328  2 Tc 2.65
Ga: 0.6692 0.6692 0.1672  2 Tc 2.65
Ga: 0.6900 0.0959 0.3930  4 Ga 2.69-3.01, 2 Tc 2.73
Ga: 0.8212 0.1788 0.0000  1 Ga 2.37, 2 Tc 2.55
Ga: 0.9041 0.3100 0.6070  4 Ga 2.69-3.01, 2 Tc 2.73
Tc: 0.5001 0.5001 0.2640  2 Tc 2.49-2.79, 8 Ga 2.55-2.73
Tc: 0.4999 0.4999 0.7360  2 Tc 2.49-2.79, 8 Ga 2.55-2.73



No. 3
MgAg5Te3 | PBE | optimized geometry

Calculated values
Formation energy from raw total energies   -0.0876 eV per atom
Crystal system   monoclinic

Cell lengths 8.0961, 8.0961, 10.4414 Å; angles 106.45, 106.45, 44.70 degrees
Closest atoms and distances in Å follow each position.
Sites, in units of the cell vectors:
Mg: 0.2275 0.7725 0.7500  4 Te 2.87-2.96, 1 Ag 2.90
Mg: 0.7725 0.2275 0.2500  4 Te 2.87-2.96, 1 Ag 2.90
Ag: 0.0886 0.5707 0.8807  4 Te 2.94-3.02, 3 Ag 2.95-3.21, 1 Mg 3.25
Ag: 0.0957 0.5731 0.3628  4 Te 2.92-3.08, 4 Ag 2.95-3.21
Ag: 0.2430 0.7570 0.2500  1 Mg 2.90, 4 Te 2.96-3.01, 2 Ag 3.06
Ag: 0.4269 0.9043 0.1372  4 Te 2.92-3.08, 4 Ag 2.95-3.21
Ag: 0.4293 0.9114 0.6193  4 Te 2.94-3.02, 3 Ag 2.95-3.21, 1 Mg 3.25
Ag: 0.5707 0.0886 0.3807  4 Te 2.94-3.02, 3 Ag 2.95-3.21, 1 Mg 3.25
Ag: 0.5731 0.0957 0.8628  4 Te 2.92-3.08, 4 Ag 2.95-3.21
Ag: 0.7570 0.2430 0.7500  1 Mg 2.90, 4 Te 2.96-3.01, 2 Ag 3.06
Ag: 0.9043 0.4269 0.6372  4 Te 2.92-3.08, 4 Ag 2.95-3.21
Ag: 0.9114 0.4293 0.1193  4 Te 2.94-3.02, 3 Ag 2.95-3.21, 1 Mg 3.25
Te: 0.0000 0.0000 0.0000  6 Ag 2.94-3.01, 2 Mg 2.96
Te: 0.0000 0.0000 0.5000  6 Ag 2.94-3.01, 2 Mg 2.96
Te: 0.3150 0.3538 0.6281  1 Mg 2.87, 7 Ag 2.92-3.08
Te: 0.3538 0.3150 0.1281  1 Mg 2.87, 7 Ag 2.92-3.08
Te: 0.6462 0.6850 0.8719  1 Mg 2.87, 7 Ag 2.92-3.08
Te: 0.6850 0.6462 0.3719  1 Mg 2.87, 7 Ag 2.92-3.08



No. 4
Nd2Dy2Y6Ho | PBE | optimized geometry

Calculated values
Crystal system   orthorhombic
ΔH_f (0 K)   1.6 eV per formula unit

Cell lengths 6.6715, 6.6715, 10.6462 Å; angles 90.00, 90.00, 129.62 degrees
Closest atoms and distances in Å follow each position.
Sites, in units of the cell vectors:
Nd: 0.1340 0.8660 0.0000  1 Nd 3.24, 8 Y 3.41-3.62
Nd: 0.8660 0.1340 0.0000  1 Nd 3.24, 8 Y 3.41-3.62
Dy: 0.2059 0.7941 0.5000  2 Dy 3.03, 2 Y 3.30
Dy: 0.7941 0.2059 0.5000  2 Dy 3.03, 2 Y 3.30
Y: 0.0000 0.0000 0.2968  2 Dy 3.30, 4 Y 3.51, 2 Nd 3.55, 2 Ho 3.57
Y: 0.0000 0.0000 0.7032  2 Dy 3.30, 4 Y 3.51, 2 Nd 3.55, 2 Ho 3.57
Y: 0.3471 0.6529 0.2104  3 Nd 3.41-3.62, 5 Y 3.51-3.69, 1 Dy 3.52, 1 Ho 3.59
Y: 0.3471 0.6529 0.7896  3 Nd 3.41-3.62, 5 Y 3.51-3.69, 1 Dy 3.52, 1 Ho 3.59
Y: 0.6529 0.3471 0.2104  3 Nd 3.41-3.62, 5 Y 3.51-3.69, 1 Dy 3.52, 1 Ho 3.59
Y: 0.6529 0.3471 0.7896  3 Nd 3.41-3.62, 5 Y 3.51-3.69, 1 Dy 3.52, 1 Ho 3.59
Ho: 0.5000 0.5000 0.5000  6 Dy 3.55-3.77, 8 Y 3.57-3.59



No. 5
Zr4Os3 | PBE | optimized geometry

Calculated values
Crystal system   hexagonal
ΔH_f (0 K)   -1.9 eV per formula unit

Cell lengths 5.3204, 5.3204, 5.3499 Å; angles 90.00, 90.00, 120.00 degrees
Closest atoms and distances in Å follow each position.
Sites, in units of the cell vectors:
Zr: 0.0000 0.0000 0.2446  2 Zr 2.62-2.73
Zr: 0.0000 0.0000 0.7554  2 Zr 2.62-2.73
Zr: 0.3333 0.6667 0.5000  9 Zr 3.07-3.36, 6 Os 3.08
Zr: 0.6667 0.3333 0.5000  9 Zr 3.07-3.36, 6 Os 3.08
Os: 0.0000 0.5000 0.0000  4 Os 2.66, 4 Zr 2.96
Os: 0.5000 0.0000 0.0000  4 Os 2.66, 4 Zr 2.96
Os: 0.5000 0.5000 0.0000  4 Os 2.66, 4 Zr 2.96



No. 6
Tb2Pm3Dy6Zr | PBE | optimized geometry

Calculated values
Crystal system   monoclinic
ΔH_f (0 K)   0.5 eV per formula unit

Cell lengths 6.1300, 6.1300, 11.6998 Å; angles 94.99, 94.99, 119.92 degrees
Closest atoms and distances in Å follow each position.
Sites, in units of the cell vectors:
Tb: 0.1668 0.8332 0.0000  6 Dy 3.47-3.48, 3 Zr 3.54, 3 Tb 3.54
Tb: 0.8332 0.1668 0.0000  6 Dy 3.47-3.48, 3 Zr 3.54, 3 Tb 3.54
Pm: 0.0000 0.0000 0.5000  6 Pm 3.54, 6 Dy 3.59-3.63
Pm: 0.3339 0.6661 0.5000  6 Pm 3.53-3.55, 6 Dy 3.59-3.63
Pm: 0.6661 0.3339 0.5000  6 Pm 3.53-3.55, 6 Dy 3.59-3.63
Dy: 0.0925 0.4191 0.7574  1 Zr 3.44, 6 Dy 3.47-3.58, 2 Tb 3.47-3.48, 3 Pm 3.59-3.63
Dy: 0.2547 0.2547 0.2423  1 Zr 3.43, 6 Dy 3.47-3.58, 2 Tb 3.47, 3 Pm 3.59-3.63
Dy: 0.4191 0.0925 0.7574  1 Zr 3.44, 6 Dy 3.47-3.58, 2 Tb 3.47-3.48, 3 Pm 3.59-3.63
Dy: 0.5809 0.9075 0.2426  1 Zr 3.44, 6 Dy 3.47-3.58, 2 Tb 3.47-3.48, 3 Pm 3.59-3.63
Dy: 0.7453 0.7453 0.7577  1 Zr 3.43, 6 Dy 3.47-3.58, 2 Tb 3.47, 3 Pm 3.59-3.63
Dy: 0.9075 0.5809 0.2426  1 Zr 3.44, 6 Dy 3.47-3.58, 2 Tb 3.47-3.48, 3 Pm 3.59-3.63
Zr: 0.5000 0.5000 0.0000  6 Dy 3.43-3.44, 6 Tb 3.54



No. 7
Sr2DyGa3Pd4 | PBE | optimized geometry

Calculated values
Crystal system   tetragonal
ΔH_f (0 K)   -7.3 eV per formula unit

Cell lengths 4.4234, 4.4234, 11.2008 Å; angles 90.00, 90.00, 90.00 degrees
Closest atoms and distances in Å follow each position.
Sites, in units of the cell vectors:
Sr: 0.0000 0.5000 0.2285  6 Ga 3.37-3.76, 8 Pd 3.38-3.40, 2 Dy 3.76
Sr: 0.5000 0.0000 0.7715  6 Ga 3.37-3.76, 8 Pd 3.38-3.40, 2 Dy 3.76
Dy: 0.0000 0.0000 0.5000  4 Pd 2.80, 4 Ga 3.13
Ga: 0.0000 0.5000 0.8838  5 Pd 2.57-2.58
Ga: 0.5000 0.0000 0.1162  5 Pd 2.57-2.58
Ga: 0.5000 0.5000 0.5000  4 Pd 2.80, 4 Dy 3.13
Pd: 0.0000 0.0000 0.0000  4 Ga 2.57
Pd: 0.0000 0.5000 0.6537  3 Ga 2.58-2.80, 2 Dy 2.80
Pd: 0.5000 0.0000 0.3463  3 Ga 2.58-2.80, 2 Dy 2.80
Pd: 0.5000 0.5000 0.0000  4 Ga 2.57



No. 8
PaGeP2O8 | PBE | optimized geometry

Calculated values
Formation energy from raw total energies   -2.2843 eV per atom
Crystal system   monoclinic

Cell lengths 5.6325, 5.6325, 5.5440 Å; angles 103.98, 103.98, 67.79 degrees
Closest atoms and distances in Å follow each position.
Sites, in units of the cell vectors:
Pa: 0.0000 0.0000 0.0000  6 O 2.31-2.39
Ge: 0.5000 0.5000 0.5000  6 O 2.32-2.42
P: 0.3011 0.3011 0.8438  4 O 1.54-1.57
P: 0.6989 0.6989 0.1562  4 O 1.54-1.57
O: 0.1306 0.1306 0.7040  1 P 1.56
O: 0.1868 0.5777 0.7668  1 P 1.57
O: 0.3071 0.3071 0.1251  1 P 1.54
O: 0.4223 0.8132 0.2332  1 P 1.57
O: 0.5777 0.1868 0.7668  1 P 1.57
O: 0.6929 0.6929 0.8749  1 P 1.54
O: 0.8132 0.4223 0.2332  1 P 1.57
O: 0.8694 0.8694 0.2960  1 P 1.56